Entry 1:
LaCd2P2Pt7 | PBE | optimized geometry

Properties
* total magnetic moment: 0.00 μB per cell
* raw total energy: -5.54 eV per atom

abc: 5.7081 5.7036 14.1710
angles: 90.00 97.83 90.00
Closest atoms and distances in Å follow each position.
Space group C2/m (No. 12)
Asymmetric unit:
La 0.0000 0.0000 0.0000 x2  12 Pt 2.85-3.11
Cd 0.0952 0.0000 0.4052 x4  5 Pt 2.84-2.88, 1 Cd 3.03
P 0.0822 0.5000 0.2574 x4  5 Pt 2.25-2.38
Pt 0.0000 0.5000 0.0000 x2  4 La 2.85, 8 Pt 3.09-3.11
Pt 0.0964 0.5000 0.4170 x4  1 P 2.25
Pt 0.1963 0.2494 0.8321 x8  2 P 2.37-2.38

***

Entry 2:
GaCo2Ni | PBE | optimized geometry

Properties
* total magnetic moment: 2.96 μB per cell
* raw total energy: -5.88 eV per atom

abc: 3.5160 3.5160 3.7492
angles: 90.00 90.00 90.00
Closest atoms and distances in Å follow each position.
Space group P4/mmm (No. 123)
Asymmetric unit:
Ga 0.0000 0.0000 0.0000 x1  4 Ni 2.49, 8 Co 2.57
Co 0.0000 0.5000 0.5000 x2  4 Co 2.49, 4 Ni 2.57, 4 Ga 2.57
Ni 0.5000 0.5000 0.0000 x1  4 Ga 2.49, 8 Co 2.57

***

Entry 3:
Ac4In2Si | PBE | optimized geometry

Properties
* total magnetic moment: 0.00 μB per cell
* energy relative to the lowest polymorph listed for this composition: 15.7 kJ per mole of atoms
* raw total energy: -4.12 eV per atom

abc: 5.9688 5.9688 16.3865
angles: 90.00 90.00 90.00
Closest atoms and distances in Å follow each position.
Space group I4/mmm (No. 139)
Asymmetric unit:
Ac 0.0000 0.0000 0.1854 x4  1 Si 3.04, 1 In 3.29
Ac 0.0000 0.5000 0.0000 x4  2 Si 2.98
In 0.0000 0.0000 0.3864 x4  5 Ac 3.29-3.52
Si 0.0000 0.0000 0.0000 x2  6 Ac 2.98-3.04